The following is a DFT calculation (PBE) of a relaxed PrSmIr crystal.

Geometry as POSCAR:
```
PrSmIr
1.0
3.964 0.000 0.000
-1.982 6.227 -3.005
0.000 -0.983 7.822
Pr Sm Ir
2 2 2
Direct
0.167 0.335 0.587
0.508 0.017 0.080
0.923 0.846 0.596
0.249 0.498 0.107
0.931 0.862 0.240
0.598 0.196 0.803
```

Properties
density	8.85	Mg/m³
spin magnetization	0.000	μB per cell
calculated formation energy	-0.3870	eV/atom
ΔE to the lowest computed polymorph	146	meV per atom

***

The following is a DFT calculation (PBE) of a relaxed Pr2Sm3Ir2 crystal.

Geometry as POSCAR:
```
Pr2Sm3Ir2
1.0
3.913 0.000 0.000
-1.956 6.220 -0.461
0.000 -3.457 8.514
Pr Ir Sm
2 2 3
Direct
0.168 0.335 0.808
0.832 0.665 0.192
0.825 0.649 0.758
0.175 0.351 0.242
0.500 0.000 0.000
0.619 0.238 0.429
0.381 0.762 0.571
```

Properties
density	9.23	Mg/m³
spin magnetization	0.000	μB per cell
calculated formation energy	-0.5107	eV/atom

***

The following is a DFT calculation (PBE) of a relaxed Pr2SmIr2 crystal.

Geometry as POSCAR:
```
Pr2SmIr2
1.0
-2.898 2.042 -2.320
-4.164 -2.149 3.309
3.971 4.948 3.264
Ir Sm Pr
2 1 2
Direct
0.348 0.848 0.697
0.652 0.152 0.303
0.000 0.000 0.000
0.685 0.685 0.370
0.315 0.315 0.630
```

Properties
density	9.02	Mg/m³
spin magnetization	0.000	μB per cell
calculated formation energy	-0.5198	eV/atom